Co2Cu2Os | PBE | optimized geometry Values from VASP.

Summary:
As for the electronic total energy: -0.4579 Ry per atom. For the energy above the most stable polymorph in this dataset, the calculation gives 0 meV/atom.

Quantum ESPRESSO input file:
```
&SYSTEM
  ibrav = 0, nat = 10, ntyp = 3
/
ATOMIC_SPECIES
Co 58.93 Co.upf
Os 190.23 Os.upf
Cu 63.55 Cu.upf
ATOMIC_POSITIONS angstrom
Co -0.2535 1.8996 6.3707
Co -0.8664 5.4967 4.9547
Co -0.6688 4.0940 1.3061
Co -0.0559 0.4970 2.7220
Os 0.0000 0.0000 0.0000
Os -0.4611 2.9968 3.8384
Cu 1.1984 0.8888 4.7940
Cu 0.6664 4.1660 6.1778
Cu 0.4072 5.5258 2.8579
Cu 0.9392 2.2486 1.4741
CELL_PARAMETERS angstrom
-1.1207 6.7784 0.8067
0.1984 -0.7848 6.8701
2.5279 0.4209 -0.0249
```

***

Co3CuOs | PBE | optimized geometry Values from VASP.

Summary:
As for the electronic total energy: -0.4219 Ry per atom. For the energy above the most stable polymorph in this dataset, the calculation gives 0 meV/atom.

Quantum ESPRESSO input file:
```
&SYSTEM
  ibrav = 0, nat = 5, ntyp = 3
/
ATOMIC_SPECIES
Co 58.93 Co.upf
Os 190.23 Os.upf
Cu 63.55 Cu.upf
ATOMIC_POSITIONS angstrom
Co 0.0000 2.0916 0.0000
Co 0.0000 0.0000 2.0916
Co 2.0916 0.0000 0.0000
Os 2.0916 2.0916 2.0916
Cu 0.0000 0.0000 0.0000
CELL_PARAMETERS angstrom
4.1832 0.0000 0.0000
0.0000 4.1832 0.0000
0.0000 0.0000 4.1832
```

***

Co3CuOs | PBE | optimized geometry Values from VASP.

Summary:
As for the electronic total energy: -0.4200 Ry per atom. For the energy above the most stable polymorph in this dataset, the calculation gives 26 meV/atom.

Quantum ESPRESSO input file:
```
&SYSTEM
  ibrav = 0, nat = 5, ntyp = 3
/
ATOMIC_SPECIES
Co 58.93 Co.upf
Os 190.23 Os.upf
Cu 63.55 Cu.upf
ATOMIC_POSITIONS angstrom
Co 0.0000 2.2181 0.0000
Co 0.0000 0.0000 2.2181
Co 2.2181 0.0000 0.0000
Os 0.0000 0.0000 0.0000
Cu 2.2181 2.2181 2.2181
CELL_PARAMETERS angstrom
4.4362 0.0000 0.0000
0.0000 4.4362 0.0000
0.0000 0.0000 4.4362
```

***

CoCuSiOs | PBE | optimized geometry Values from VASP.

Summary:
As for the electronic total energy: -0.5166 Ry per atom. The value obtained for the formation energy from raw total energies is -0.06 eV per atom.

Quantum ESPRESSO input file:
```
&SYSTEM
  ibrav = 0, nat = 4, ntyp = 4
/
ATOMIC_SPECIES
Co 58.93 Co.upf
Si 28.09 Si.upf
Os 190.23 Os.upf
Cu 63.55 Cu.upf
ATOMIC_POSITIONS angstrom
Co 0.0000 0.0000 0.0000
Si -1.5721 -1.5074 -1.2333
Os -3.1443 -3.0148 -2.4665
Cu -4.7164 -4.5222 -3.6998
CELL_PARAMETERS angstrom
-3.9265 -0.9861 -0.5624
-1.3084 -1.1522 -3.6968
-1.0536 -3.8913 -0.6738
```

***

SrCoCuOs2 | PBE | optimized geometry Values from VASP.

Summary:
As for the electronic total energy: -0.4146 Ry per atom.

Quantum ESPRESSO input file:
```
&SYSTEM
  ibrav = 0, nat = 5, ntyp = 4
/
ATOMIC_SPECIES
Sr 87.62 Sr.upf
Os 190.23 Os.upf
Cu 63.55 Cu.upf
Co 58.93 Co.upf
ATOMIC_POSITIONS angstrom
Sr -3.3600 1.7317 1.2926
Os -0.6373 0.2269 2.2256
Os -0.6316 2.2018 -0.4053
Cu 0.0000 0.0000 0.0000
Co -2.0912 -0.6970 -0.5277
CELL_PARAMETERS angstrom
-1.2631 4.4035 -0.8106
-4.1823 -1.3939 -1.0555
-1.2746 0.4538 4.4512
```

***

TaCoCuOs | PBE | optimized geometry Values from VASP.

Summary:
As for the electronic total energy: -0.6289 Ry per atom.

Quantum ESPRESSO input file:
```
&SYSTEM
  ibrav = 0, nat = 4, ntyp = 4
/
ATOMIC_SPECIES
Co 58.93 Co.upf
Os 190.23 Os.upf
Cu 63.55 Cu.upf
Ta 180.95 Ta.upf
ATOMIC_POSITIONS angstrom
Co 4.2890 2.4762 1.7510
Os 0.0000 0.0000 0.0000
Cu 2.1445 1.2381 0.8755
Ta 6.4335 3.7144 2.6265
CELL_PARAMETERS angstrom
4.2890 0.0000 0.0000
2.1445 3.7144 0.0000
2.1445 1.2381 3.5019
```

***

CoCuOsW | PBE | optimized geometry Values from VASP.

Summary:
As for the electronic total energy: -0.6382 Ry per atom.

Quantum ESPRESSO input file:
```
&SYSTEM
  ibrav = 0, nat = 4, ntyp = 4
/
ATOMIC_SPECIES
Co 58.93 Co.upf
Os 190.23 Os.upf
Cu 63.55 Cu.upf
W 183.84 W.upf
ATOMIC_POSITIONS angstrom
Co -4.1930 0.9235 -2.9189
Os 0.0000 0.0000 0.0000
Cu -6.2895 1.3852 -4.3784
W -2.0965 0.4617 -1.4595
CELL_PARAMETERS angstrom
-2.1139 2.9541 -2.1851
-2.0343 -1.0526 -3.5669
-4.2378 -0.0545 -0.0859
```

***

Co2CuP | PBE | optimized geometry Values from VASP.

Summary:
As for the electronic total energy: -0.4347 Ry per atom. For the energy above the most stable polymorph in this dataset, the calculation gives 157 meV/atom.

Quantum ESPRESSO input file:
```
&SYSTEM
  ibrav = 0, nat = 4, ntyp = 3
/
ATOMIC_SPECIES
Co 58.93 Co.upf
Cu 63.55 Cu.upf
P 30.97 P.upf
ATOMIC_POSITIONS angstrom
Co 0.0000 0.0000 0.0000
Co -0.2376 -1.2653 2.1707
Cu -2.6627 -0.6143 2.4246
P -0.8566 1.1173 2.0946
CELL_PARAMETERS angstrom
-3.2817 1.7683 2.3485
-2.0438 -2.9969 2.5007
4.2312 1.0806 -0.5839
```

***

CoCu2P | PBE | optimized geometry Values from VASP.

Summary:
As for the electronic total energy: -0.3831 Ry per atom.

Quantum ESPRESSO input file:
```
&SYSTEM
  ibrav = 0, nat = 4, ntyp = 3
/
ATOMIC_SPECIES
Co 58.93 Co.upf
Cu 63.55 Cu.upf
P 30.97 P.upf
ATOMIC_POSITIONS angstrom
Co 1.4249 1.4249 4.1425
Cu 0.0000 0.0000 5.7758
Cu 1.4249 1.4249 1.4848
P 0.0000 0.0000 3.1154
CELL_PARAMETERS angstrom
2.8498 0.0000 0.0000
0.0000 2.8498 0.0000
0.0000 0.0000 5.8074
```

***

CoCu2P | PBE | optimized geometry Values from VASP.

Summary:
As for the electronic total energy: -0.3621 Ry per atom.

Quantum ESPRESSO input file:
```
&SYSTEM
  ibrav = 0, nat = 4, ntyp = 3
/
ATOMIC_SPECIES
Co 58.93 Co.upf
Cu 63.55 Cu.upf
P 30.97 P.upf
ATOMIC_POSITIONS angstrom
Co 1.2663 1.2663 5.7870
Cu 0.0000 0.0000 7.6365
Cu 0.0000 0.0000 3.9376
P 1.2663 1.2663 1.9290
CELL_PARAMETERS angstrom
2.5327 0.0000 0.0000
0.0000 2.5327 0.0000
0.0000 0.0000 7.7160
```

***

Co2CuP | PBE | optimized geometry Values from VASP.

Summary:
As for the electronic total energy: -0.4285 Ry per atom. For the energy above the most stable polymorph in this dataset, the calculation gives 241 meV/atom.

Quantum ESPRESSO input file:
```
&SYSTEM
  ibrav = 0, nat = 4, ntyp = 3
/
ATOMIC_SPECIES
Co 58.93 Co.upf
Cu 63.55 Cu.upf
P 30.97 P.upf
ATOMIC_POSITIONS angstrom
Co -0.0258 0.1264 0.0565
Co -1.0814 5.3011 2.3724
Cu -2.1251 10.4168 4.6618
P -3.1736 15.5565 6.9619
CELL_PARAMETERS angstrom
-0.1561 7.5178 2.4943
-2.7334 7.0492 2.3665
-1.3811 6.3669 4.5076
```

***

Co2CuP | PBE | optimized geometry Values from VASP.

Summary:
As for the electronic total energy: -0.4433 Ry per atom. For the energy above the most stable polymorph in this dataset, the calculation gives 40 meV/atom.

Quantum ESPRESSO input file:
```
&SYSTEM
  ibrav = 0, nat = 4, ntyp = 3
/
ATOMIC_SPECIES
Co 58.93 Co.upf
Cu 63.55 Cu.upf
P 30.97 P.upf
ATOMIC_POSITIONS angstrom
Co 0.0000 3.8040 4.6932
Co 0.0000 2.4170 2.5146
Cu 1.7531 1.0368 1.2013
P 1.7531 3.1105 3.6039
CELL_PARAMETERS angstrom
3.5061 0.0000 0.0000
0.0000 2.6645 -0.0013
0.0000 1.4828 4.8065
```

***

> The lowest electronic total energy belongs to which entry?

CoCuOsW